(1)
First-principles (GGA-PBE) data for crystalline Cr3C at its relaxed geometry, as listed in the Alexandria database.

As for the energy of formation from the pure elements: -0.0631 eV per atom. The size of the total moment comes out at 0.000 μB/atom. The energy above the most stable polymorph in this dataset comes out at 30 meV per atom. The calculation puts the density at 7.18 g/cm3. The crystal system is orthorhombic.

a b c (Å): 2.7992 8.3451 6.6569
angles (deg): 90.00 90.00 90.00
Last column: nearest neighbours and their distance in Å.
Space group Cmcm (No. 63)
One atom of each set of equivalent atoms:
Cr (0.0000, 0.0717, 0.2500) [4 per cell]  2 C 2.09
Cr (0.0000, 0.3574, 0.0598) [8 per cell]  3 C 2.06-2.27
C (0.0000, 0.2425, 0.7500) [4 per cell]  8 Cr 2.06-2.27


(2)
First-principles (GGA-PBE) data for crystalline UPaTa2C4 at its relaxed geometry, as listed in the Alexandria database.

As for the energy of formation from the pure elements: -0.5308 eV per atom. The size of the total moment comes out at 0.000 μB/atom. The calculation puts the density at 13.86 g/cm3. The crystal system is monoclinic.

a b c (Å): 5.6821 3.2854 5.9537
angles (deg): 90.00 108.62 90.00
Last column: nearest neighbours and their distance in Å.
Space group P2/m (No. 10)
One atom of each set of equivalent atoms:
U (0.0000, 0.0000, 0.0000) [1 per cell]  6 C 2.44-2.45
Pa (0.5000, 0.5000, 0.0000) [1 per cell]  6 C 2.47
Ta (0.0000, 0.5000, 0.5000) [1 per cell]  6 C 2.26
Ta (0.5000, 0.0000, 0.5000) [1 per cell]  6 C 2.29
C (0.2365, 0.0000, 0.7210) [2 per cell]  3 Ta 2.26-2.29, 1 U 2.45, 2 Pa 2.47
C (0.2544, 0.5000, 0.2762) [2 per cell]  3 Ta 2.26-2.29, 2 U 2.44, 1 Pa 2.47